## i
Density functional theory data (meta-GGA SCAN) for a PBEsol-optimized structure of HgSbPb2.

Unit cell a=6.132 b=6.132 c=6.132 alpha=135.91 beta=135.91 gamma=64.11
Element x y z (fractional)
Hg: 0.000 0.000 0.000
Sb: 0.250 0.750 0.500
Pb: 0.500 0.500 0.000
Pb: 0.750 0.250 0.500

Output
M_tot = 0.00 μB/atom
DOS at the Fermi energy = 1.47 states/eV/cell



## ii
Density functional theory data (meta-GGA SCAN) for a PBEsol-optimized structure of HgSbPb2.

Unit cell a=5.382 b=5.382 c=5.382 alpha=60.00 beta=60.00 gamma=60.00
Element x y z (fractional)
Hg: 0.000 0.000 0.000
Sb: 0.500 0.500 0.500
Pb: 0.250 0.250 0.250
Pb: 0.750 0.750 0.750

Output
M_tot = 0.00 μB/atom
DOS at the Fermi energy = 1.48 states/eV/cell



## iii
Density functional theory data (meta-GGA SCAN) for a PBEsol-optimized structure of HgSbPb2.

Unit cell a=3.429 b=3.429 c=9.232 alpha=90.00 beta=90.00 gamma=90.00
Element x y z (fractional)
Hg: 0.000 0.000 0.000
Sb: 0.000 0.000 0.500
Pb: 0.500 0.500 0.240
Pb: 0.500 0.500 0.760

Output
M_tot = 0.00 μB/atom
DOS at the Fermi energy = 2.06 states/eV/cell



Least stable of them? iii.